NaNiH4SO6F GGA+U optimized geometry; final energy = -146.512 eV/cell; symmetry = P2_1/m, No. 11
1.0
5.753 0.000 0.000
0.000 7.332 0.000
-2.835 0.000 6.578
Na Ni H S O F
2 2 8 2 12 2
Cartesian
0.146 1.833 1.266
2.773 5.499 5.313
2.877 0.000 0.000
2.877 3.666 0.000
-1.519 0.535 4.574
-1.519 3.131 4.574
-0.589 4.340 4.111
-0.589 6.658 4.111
3.508 0.674 2.467
3.508 2.992 2.467
4.438 4.202 2.004
4.438 6.797 2.004
1.148 5.499 2.010
1.770 1.833 4.568
-0.225 5.499 2.672
-1.106 3.982 4.874
-1.106 7.016 4.874
1.206 4.280 1.138
1.206 6.718 1.138
0.719 1.833 3.553
2.200 5.499 3.025
1.712 0.614 5.441
1.712 3.052 5.441
4.025 0.316 1.705
4.025 3.350 1.705
3.143 1.833 3.906
2.081 1.833 0.128
0.837 5.499 6.450